# 1
## BaCoTeO (PBE+U)

Data for crystalline BaCoTeO at its relaxed geometry.

The space group is Pnma (No. 62) and the conventional cell measures 7.986, 3.649 and 13.483 Å, with angles of 90.00, 90.00 and 90.00 degrees. The asymmetric unit holds Ba at (0.038, 0.250, 0.215), Co at (0.188, 0.750, 0.432), Te at (0.160, 0.250, 0.591) and O at (0.250, 0.250, 0.365).

As for the crystal system: orthorhombic. Its raw total energy is -4.77 eV per atom.

***

# 2
## BaCoTeO (PBE+U)

Data for crystalline BaCoTeO at its relaxed geometry.

The space group is Cmc2_1 (No. 36) and the conventional cell measures 3.569, 12.992 and 7.983 Å, with angles of 90.00, 90.00 and 90.00 degrees. The asymmetric unit holds Ba at (0.000, 0.052, 0.000), Co at (0.000, 0.326, 0.160), Te at (0.000, 0.324, 0.819) and O at (0.000, 0.102, 0.691).

As for the crystal system: orthorhombic. Its raw total energy is -4.72 eV per atom.

***

# 3
## BaCoTeO (PBE+U)

Data for crystalline BaCoTeO at its relaxed geometry.

The space group is Cmc2_1 (No. 36) and the conventional cell measures 4.388, 7.442 and 12.815 Å, with angles of 90.00, 90.00 and 90.00 degrees. The asymmetric unit holds Ba at (0.000, 0.081, 0.000), Co at (0.000, 0.263, 0.702), Te at (0.000, 0.401, 0.274) and O at (0.000, 0.253, 0.557).

As for the crystal system: orthorhombic. Its raw total energy is -5.11 eV per atom.

***

# 4
## BaCoTeO (PBE+U)

Data for crystalline BaCoTeO at its relaxed geometry.

The space group is Pca2_1 (No. 29) and the conventional cell measures 6.796, 9.689 and 7.005 Å, with angles of 90.00, 90.00 and 90.00 degrees. The asymmetric unit holds Ba at (0.001, 0.198, 0.000), Co at (0.097, 0.559, 0.007), Te at (0.002, 0.827, 0.000) and O at (0.125, 0.553, 0.509).

As for the crystal system: orthorhombic. Its raw total energy is -5.00 eV per atom.

***

| no. | M_tot (μB per formula unit) |
| --- | --- |
| 1 | 2.86 |
| 2 | 2.60 |
| 3 | 3.00 |
| 4 | 3.00 |